# 1
TiNbTeBr2 | PBEsol | relaxed

Unit cell a=4.9654 b=4.9654 c=5.6430 alpha=90.00 beta=90.00 gamma=90.00
Space group P4/mmm (No. 123)
Inequivalent atoms, fractional coordinates:
Ti1 0.0000 0.0000 0.0000 (multiplicity 1)
Nb1 0.5000 0.5000 0.5000 (multiplicity 1)
Te1 0.5000 0.5000 0.0000 (multiplicity 1)
Br1 0.0000 0.5000 0.5000 (multiplicity 2)

electronic total energy = -4.96 eV per atom
formation energy from raw total energies = 0.32 eV per atom
V = 139.13 Å³/f.u.

# 2
TiNbBr2 | PBEsol | relaxed

Unit cell a=7.0563 b=7.0563 c=6.2835 alpha=90.00 beta=90.00 gamma=90.00
Space group I-42d (No. 122)
Inequivalent atoms, fractional coordinates:
Ti1 0.0000 0.0000 0.0000 (multiplicity 4)
Nb1 0.0000 0.0000 0.5000 (multiplicity 4)
Br1 0.2423 0.7500 0.1250 (multiplicity 8)

electronic total energy = -5.32 eV per atom
formation energy from raw total energies = 0.40 eV per atom
V = 78.22 Å³/f.u.

# 3
NbWBr3 | PBEsol | relaxed

Unit cell a=5.1068 b=5.1068 c=5.1068 alpha=90.00 beta=90.00 gamma=90.00
Space group Pm-3m (No. 221)
Inequivalent atoms, fractional coordinates:
Nb1 0.0000 0.0000 0.0000 (multiplicity 1)
W1 0.5000 0.5000 0.5000 (multiplicity 1)
Br1 0.0000 0.0000 0.5000 (multiplicity 3)

polymorph energy (0 for the lowest one) = 0 meV per atom
electronic total energy = -4.87 eV per atom
formation energy from raw total energies = 1.18 eV per atom
V = 133.18 Å³/f.u.

# 4
NbWBr2 | PBEsol | relaxed

Unit cell a=6.4108 b=6.4108 c=6.4108 alpha=90.00 beta=90.00 gamma=90.00
Space group Fm-3m (No. 225)
Inequivalent atoms, fractional coordinates:
Nb1 0.0000 0.0000 0.0000 (multiplicity 4)
W1 0.0000 0.0000 0.5000 (multiplicity 4)
Br1 0.2500 0.2500 0.2500 (multiplicity 8)

electronic total energy = -6.10 eV per atom
formation energy from raw total energies = 0.99 eV per atom
V = 65.87 Å³/f.u.

# 5
NbZn3Br | PBEsol | relaxed

Unit cell a=5.1336 b=5.1336 c=5.1336 alpha=90.00 beta=90.00 gamma=90.00
Space group Pm-3m (No. 221)
Inequivalent atoms, fractional coordinates:
Nb1 0.0000 0.0000 0.0000 (multiplicity 1)
Zn1 0.0000 0.0000 0.5000 (multiplicity 3)
Br1 0.5000 0.5000 0.5000 (multiplicity 1)

electronic total energy = -2.43 eV per atom
formation energy from raw total energies = 1.06 eV per atom
V = 135.29 Å³/f.u.

# 6
ZrNbBr3 | PBEsol | relaxed

Unit cell a=5.2095 b=5.2095 c=5.2095 alpha=90.00 beta=90.00 gamma=90.00
Space group Pm-3m (No. 221)
Inequivalent atoms, fractional coordinates:
Zr1 0.0000 0.0000 0.0000 (multiplicity 1)
Nb1 0.5000 0.5000 0.5000 (multiplicity 1)
Br1 0.0000 0.0000 0.5000 (multiplicity 3)

electronic total energy = -4.79 eV per atom
formation energy from raw total energies = 0.31 eV per atom
V = 141.38 Å³/f.u.

# 7
NdBr3 | PBEsol | relaxed

Unit cell a=4.0647 b=13.1242 c=9.0515 alpha=90.00 beta=90.00 gamma=90.00
Space group Cmcm (No. 63)
Inequivalent atoms, fractional coordinates:
Nd1 0.0000 0.2418 0.2500 (multiplicity 4)
Br1 0.0000 0.1489 0.5653 (multiplicity 8)
Br2 0.0000 0.4145 0.7500 (multiplicity 4)

electronic total energy = -4.59 eV per atom
formation energy from raw total energies = -1.90 eV per atom
V = 120.72 Å³/f.u.

# 8
NdBr2 | PBEsol | relaxed

Unit cell a=13.9437 b=3.9089 c=6.8911 alpha=90.00 beta=90.00 gamma=90.00
Space group Pnma (No. 62)
Inequivalent atoms, fractional coordinates:
Nd1 0.1124 0.2500 0.0031 (multiplicity 4)
Br1 0.0450 0.7500 0.7158 (multiplicity 4)
Br2 0.2096 0.7500 0.2572 (multiplicity 4)

electronic total energy = -4.61 eV per atom
formation energy from raw total energies = -1.64 eV per atom
V = 93.90 Å³/f.u.

# 9
NdTeBrO3 | PBEsol | relaxed

Unit cell a=3.8773 b=3.8773 c=26.4259 alpha=90.00 beta=90.00 gamma=90.00
Space group P4/nmm (No. 129, origin choice 2)
Inequivalent atoms, fractional coordinates:
Nd1 0.2500 0.2500 0.0466 (multiplicity 2)
Nd2 0.2500 0.2500 0.7094 (multiplicity 2)
Te1 0.2500 0.2500 0.2047 (multiplicity 2)
Te2 0.2500 0.2500 0.3858 (multiplicity 2)
Br1 0.2500 0.2500 0.5504 (multiplicity 2)
Br2 0.2500 0.2500 0.8925 (multiplicity 2)
O1 0.2500 0.2500 0.2801 (multiplicity 2)
O2 0.2500 0.7500 0.0000 (multiplicity 2)
O3 0.2500 0.7500 0.2239 (multiplicity 4)
O4 0.2500 0.7500 0.3505 (multiplicity 4)

electronic total energy = -6.33 eV per atom
formation energy from raw total energies = -1.94 eV per atom
V = 99.32 Å³/f.u.

# 10
Nd3S2Br5 | PBEsol | relaxed

Unit cell a=7.1740 b=22.1507 c=6.7883 alpha=90.00 beta=90.00 gamma=90.00
Space group Pnma (No. 62)
Inequivalent atoms, fractional coordinates:
Nd1 0.0454 0.2500 0.0548 (multiplicity 4)
Nd2 0.1213 0.1033 0.4463 (multiplicity 8)
S1 0.1664 0.6742 0.6936 (multiplicity 8)
Br1 0.0175 0.6203 0.1469 (multiplicity 8)
Br2 0.1663 0.2500 0.6296 (multiplicity 4)
Br3 0.1795 0.5193 0.6657 (multiplicity 8)

electronic total energy = -5.33 eV per atom
formation energy from raw total energies = -1.96 eV per atom
V = 269.68 Å³/f.u.

# 11
NiBr5 | PBEsol | relaxed

Unit cell a=4.9750 b=4.9750 c=7.0610 alpha=90.00 beta=90.00 gamma=120.00
Space group P-62m (No. 189)
Inequivalent atoms, fractional coordinates:
Ni1 0.0000 0.0000 0.0000 (multiplicity 1)
Br1 0.0000 0.6666 0.5000 (multiplicity 3)
Br2 0.3333 0.6667 0.0000 (multiplicity 2)

electronic total energy = -2.05 eV per atom
formation energy from raw total energies = 0.54 eV per atom
V = 151.35 Å³/f.u.

# 12
Ni2Br | PBEsol | relaxed

Unit cell a=3.2027 b=3.2027 c=4.8479 alpha=90.00 beta=90.00 gamma=120.00
Space group P-3m1 (No. 164)
Inequivalent atoms, fractional coordinates:
Ni1 0.3333 0.6667 0.1500 (multiplicity 2)
Br1 0.0000 0.0000 0.5000 (multiplicity 1)

electronic total energy = -4.28 eV per atom
formation energy from raw total energies = 0.45 eV per atom
V = 43.06 Å³/f.u.